PaCoO3 | GGA+U | relaxed

Unit cell a=4.446 b=4.178 c=6.697 alpha=90.00 beta=95.78 gamma=90.00
Space group P2_1/m (No. 11)
Unique sites:
Pa 0.021 0.250 0.258
Co 0.450 0.250 0.850
O 0.057 0.750 0.112
O 0.183 0.250 0.561
O 0.484 0.750 0.810

E_tot: -8.3844 eV per atom